Re2Pt2C | PBE | optimized geometry

The structure in extended XYZ format:
```
10
Lattice="5.5005 0.0000 0.0000 0.0000 5.5005 0.0000 0.0000 0.0000 4.7208" Properties=species:S:1:pos:R:3 pbc="T T T"
Re 1.8450 4.5953 0.0000
Re 4.5953 3.6555 0.0000
Re 3.6555 0.9053 0.0000
Re 0.9053 1.8450 0.0000
C 0.0000 0.0000 0.0000
C 2.7503 2.7503 0.0000
Pt 0.9698 3.7201 2.3604
Pt 3.7201 4.5307 2.3604
Pt 4.5307 1.7804 2.3604
Pt 1.7804 0.9698 2.3604
```

Energy relative to the elements, meV per atom: 326
Spin magnetization, μB per formula unit: 0.00
Space-group type: P4/mbm, No. 127
Relative energy among the computed polymorphs, meV/atom: 0


Re2Pt2C | PBE | optimized geometry

The structure in extended XYZ format:
```
5
Lattice="3.5283 0.0000 0.0000 0.0000 3.5283 0.0000 1.7642 1.7642 6.4097" Properties=species:S:1:pos:R:3 pbc="T T T"
Re 1.7642 1.7642 1.2026
Re 3.5283 3.5283 5.2072
C 0.0000 0.0000 0.0000
Pt 3.5283 1.7642 3.2049
Pt 1.7642 3.5283 3.2049
```

Energy relative to the elements, meV per atom: 1584
Spin magnetization, μB per formula unit: 0.00
Space-group type: I4/mmm, No. 139
Relative energy among the computed polymorphs, meV/atom: 1257


ReRuPt2C | PBE | optimized geometry

The structure in extended XYZ format:
```
5
Lattice="-2.6948 -3.5183 -1.9448 2.4248 -3.1618 2.3599 -3.1207 0.3549 3.6821" Properties=species:S:1:pos:R:3 pbc="T T T"
Re 0.0000 0.0000 0.0000
C -1.6953 -3.1626 2.0486
Pt -1.5603 0.1775 1.8411
Pt -1.3474 -1.7591 -0.9724
Ru 1.2124 -1.5809 1.1799
```

Energy relative to the elements, meV per atom: 2672
Spin magnetization, μB per formula unit: 1.47
Space-group type: P4/mmm, No. 123


ReSbPtC2 | PBE | optimized geometry

The structure in extended XYZ format:
```
5
Lattice="-1.7782 1.8749 -2.9906 3.3197 -2.4704 -3.5226 -2.5749 -2.9795 -0.3370" Properties=species:S:1:pos:R:3 pbc="T T T"
Re 0.0000 0.0000 0.0000
C -1.2874 -1.4898 -0.1685
C -0.8891 0.9375 -1.4953
Pt 1.6598 -1.2352 -1.7613
Sb -0.5167 -1.7875 -3.4251
```

Spin magnetization, μB per formula unit: 0.00
Energy relative to the elements, uncorrected, eV/f.u.: 5.9
Space-group type: P4/mmm, No. 123


Re2SiPtC | PBE | optimized geometry

The structure in extended XYZ format:
```
5
Lattice="4.1224 0.0000 0.0000 0.0000 4.0280 0.0000 0.0000 0.0000 4.1224" Properties=species:S:1:pos:R:3 pbc="T T T"
Re 0.0000 0.0000 2.0612
Re 2.0612 0.0000 0.0000
Si 2.0612 2.0140 2.0612
C 0.0000 0.0000 0.0000
Pt 0.0000 2.0140 0.0000
```

Spin magnetization, μB per formula unit: 0.00
Energy relative to the elements, uncorrected, eV/f.u.: 2.7
Space-group type: P4/mmm, No. 123


V2RePtC | PBE | optimized geometry

The structure in extended XYZ format:
```
5
Lattice="-2.5244 0.9414 2.9653 -3.1099 -0.8713 -2.3709 0.0878 -3.7933 1.2789" Properties=species:S:1:pos:R:3 pbc="T T T"
Re 0.0439 -1.8966 0.6395
C 0.0000 0.0000 0.0000
Pt -2.7733 -1.8616 0.9367
V -1.5550 -0.4357 -1.1854
V -1.2622 0.4707 1.4827
```

Energy relative to the elements, meV per atom: -285
Spin magnetization, μB per formula unit: 0.00
Space-group type: P4/mmm, No. 123


Q: spin magnetization of number 4 (ReSbPtC2)?
A: 0.00 μB per formula unit